1.
Computed, not measured: a relaxed TaHgP2 crystal at the PBE level of DFT.

The space group is P4/mmm (No. 123) and the conventional cell measures 4.451, 4.451 and 3.357 Å, with angles of 90.00, 90.00 and 90.00 degrees. Symmetry generates all atoms from Ta at (0.000, 0.000, 0.000), Hg at (0.500, 0.500, 0.000) and P at (0.000, 0.500, 0.500).

Its magnetic moment is 0.00 μB/atom. As for the formation energy: 342 meV/atom.



2.
Computed, not measured: a relaxed Ca3Tm3MgS8 crystal at the PBE level of DFT.

The space group is R-3m (No. 166, hexagonal axes) and the conventional cell measures 7.7652, 7.7652 and 19.5249 Å, with angles of 90.00, 90.00 and 120.00 degrees. Symmetry generates all atoms from Ca at (0.0000, 0.5000, 0.0000), Tm at (0.0000, 0.5000, 0.5000), Mg at (0.0000, 0.0000, 0.5000), S at (0.0000, 0.0000, 0.2464) and S at (0.0066, 0.5033, 0.2432).

The value obtained for the formation energy from raw total energies is -1.99 eV per atom. Its magnetic moment is 0.00 μB/atom.



3.
Computed, not measured: a relaxed K4In4Sn crystal at the PBE level of DFT.

The space group is I-42m (No. 121) and the conventional cell measures 6.668, 6.668 and 15.786 Å, with angles of 90.00, 90.00 and 90.00 degrees. Symmetry generates all atoms from K at (0.232, 0.232, 0.173), In at (0.199, 0.199, 0.442) and Sn at (0.000, 0.000, 0.000).

Its magnetic moment is 0.00 μB/atom. As for the formation energy: -28 meV/atom.



4.
Computed, not measured: a relaxed MgGa2P crystal at the PBE level of DFT.

The space group is I-42d (No. 122) and the conventional cell measures 7.518, 7.518 and 5.371 Å, with angles of 90.00, 90.00 and 90.00 degrees. Symmetry generates all atoms from Mg at (0.000, 0.000, 0.000), Ga at (0.204, 0.250, 0.625) and P at (0.000, 0.000, 0.500).

Its magnetic moment is 0.00 μB/atom. As for the formation energy: -166 meV/atom.



5.
Computed, not measured: a relaxed CaErSc4Se8 crystal at the PBE level of DFT.

The space group is R3m (No. 160, hexagonal axes) and the conventional cell measures 8.0956, 8.0956 and 20.2090 Å, with angles of 90.00, 90.00 and 120.00 degrees. Symmetry generates all atoms from Ca at (0.0000, 0.0000, 0.0000), Er at (0.0000, 0.0000, 0.3699), Sc at (0.0000, 0.0000, 0.7450), Sc at (0.0042, 0.5021, 0.8723), Se at (0.0000, 0.0000, 0.1361), Se at (0.0000, 0.0000, 0.6139), Se at (0.0137, 0.5068, 0.1262) and Se at (0.1805, 0.3610, 0.9471).

The value obtained for the formation energy from raw total energies is -1.67 eV per atom. Its magnetic moment is 0.00 μB/atom.



6.
Computed, not measured: a relaxed Ba2BiH2 crystal at the PBE level of DFT.

The space group is P4/mbm (No. 127) and the conventional cell measures 8.531, 8.531 and 3.543 Å, with angles of 90.00, 90.00 and 90.00 degrees. Symmetry generates all atoms from Ba at (0.155, 0.345, 0.000), Bi at (0.000, 0.000, 0.500) and H at (0.099, 0.599, 0.500).

Its magnetic moment is 0.00 μB/atom. The total energy comes out at -16.58 eV per formula unit.



7.
Computed, not measured: a relaxed DyAl2Cu crystal at the PBE level of DFT.

The space group is P4/mmm (No. 123) and the conventional cell measures 4.165, 4.165 and 4.291 Å, with angles of 90.00, 90.00 and 90.00 degrees. Symmetry generates all atoms from Dy at (0.000, 0.000, 0.000), Al at (0.000, 0.500, 0.500) and Cu at (0.500, 0.500, 0.000).

Its magnetic moment is 0.00 μB/atom. As for the formation energy: -272 meV/atom.



8.
Computed, not measured: a relaxed Al3Tl2PdAu12 crystal at the PBE level of DFT.

The space group is R-3m (No. 166, hexagonal axes) and the conventional cell measures 8.5674, 8.5674 and 19.0412 Å, with angles of 90.00, 90.00 and 120.00 degrees. Symmetry generates all atoms from Al at (0.0000, 0.5000, 0.0000), Tl at (0.0000, 0.0000, 0.1158), Pd at (0.0000, 0.0000, 0.5000), Au at (0.0107, 0.5053, 0.3729) and Au at (0.0143, 0.5072, 0.8693).

Its magnetic moment is 0.00 μB/atom. As for the formation energy: 4 meV/atom.



9.
Computed, not measured: a relaxed NpCo2Ge3 crystal at the PBE level of DFT.

The space group is R-3m (No. 166, hexagonal axes) and the conventional cell measures 5.6730, 5.6730 and 21.0337 Å, with angles of 90.00, 90.00 and 120.00 degrees. Symmetry generates all atoms from Np at (0.0000, 0.0000, 0.2050), Co at (0.0000, 0.0000, 0.0000), Co at (0.0000, 0.5000, 0.0000) and Ge at (0.0042, 0.5021, 0.2476).

Its magnetic moment is 0.86 μB/atom. As for the formation energy: -82 meV/atom.



10.
Computed, not measured: a relaxed ZnAs3Os crystal at the PBE level of DFT.

The space group is Pm-3m (No. 221) and the conventional cell measures 4.643, 4.643 and 4.643 Å, with angles of 90.00, 90.00 and 90.00 degrees. Symmetry generates all atoms from Zn at (0.000, 0.000, 0.000), As at (0.000, 0.000, 0.500) and Os at (0.500, 0.500, 0.500).

Its magnetic moment is 0.00 μB/atom. As for the formation energy: 1474 meV/atom.



11.
Computed, not measured: a relaxed ThPaCrN4 crystal at the PBE level of DFT.

The space group is I4mm (No. 107) and the conventional cell measures 3.739, 3.739 and 12.537 Å, with angles of 90.00, 90.00 and 90.00 degrees. Symmetry generates all atoms from Th at (0.000, 0.000, 0.000), Pa at (0.000, 0.000, 0.716), Cr at (0.000, 0.000, 0.347), N at (0.000, 0.000, 0.184), N at (0.000, 0.000, 0.540) and N at (0.000, 0.500, 0.351).

The value obtained for the formation energy from raw total energies is -1.31 eV per atom. Its magnetic moment is 0.00 μB/atom.



12.
Computed, not measured: a relaxed RbMg2ZnPd crystal at the PBE level of DFT.

The space group is P4/mmm (No. 123) and the conventional cell measures 5.191, 5.191 and 5.087 Å, with angles of 90.00, 90.00 and 90.00 degrees. Symmetry generates all atoms from Rb at (0.000, 0.000, 0.000), Mg at (0.000, 0.500, 0.500), Zn at (0.500, 0.500, 0.000) and Pd at (0.500, 0.500, 0.500).

Its magnetic moment is 0.00 μB/atom. As for the formation energy: -158 meV/atom.